# Al2S3O12 (SCAN, PBEsol geometry)
# SG = R-3, No. 148
# Magnetization = 0.000 μB/atom
# E = -9.1385 eV per atom
# Density of states at the Fermi level = 0.00 states/eV/f.u.
# Energy relative to the elements, uncorrected = -2.1289 eV/atom
data_Al2S3O12
_chemical_formula_sum 'Al4 S6 O24'
_cell_length_a 8.539
_cell_length_b 8.539
_cell_length_c 8.539
_cell_angle_alpha 56.30
_cell_angle_beta 56.30
_cell_angle_gamma 56.30
_symmetry_space_group_name_H-M 'P 1'
_symmetry_Int_Tables_number 1
_symmetry_space_group_name_Hall 'P 1'
loop_
_atom_site_label
_atom_site_fract_x
_atom_site_fract_y
_atom_site_fract_z
Al1 0.144 0.144 0.144
Al2 0.352 0.352 0.352
Al3 0.648 0.648 0.648
Al4 0.856 0.856 0.856
S1 0.036 0.461 0.752
S2 0.248 0.964 0.539
S3 0.461 0.752 0.036
S4 0.539 0.248 0.964
S5 0.752 0.036 0.461
S6 0.964 0.539 0.248
O1 0.008 0.622 0.793
O2 0.103 0.889 0.736
O3 0.111 0.264 0.897
O4 0.157 0.520 0.228
O5 0.185 0.475 0.546
O6 0.207 0.992 0.378
O7 0.228 0.157 0.520
O8 0.264 0.897 0.111
O9 0.378 0.207 0.992
O10 0.454 0.815 0.525
O11 0.475 0.546 0.185
O12 0.480 0.772 0.843
O13 0.520 0.228 0.157
O14 0.525 0.454 0.815
O15 0.546 0.185 0.475
O16 0.622 0.793 0.008
O17 0.736 0.103 0.889
O18 0.772 0.843 0.480
O19 0.793 0.008 0.622
O20 0.815 0.525 0.454
O21 0.843 0.480 0.772
O22 0.889 0.736 0.103
O23 0.897 0.111 0.264
O24 0.992 0.378 0.207



# Cd3AgB (SCAN, PBEsol geometry)
# SG = Pm-3m, No. 221
# Magnetization = 0.000 μB/atom
# E = -24.7643 eV per atom
# Density of states at the Fermi level = 2.50 states/eV/f.u.
data_Cd3AgB
_chemical_formula_sum 'Cd3 Ag1 B1'
_cell_length_a 5.081
_cell_length_b 5.081
_cell_length_c 5.081
_cell_angle_alpha 90.00
_cell_angle_beta 90.00
_cell_angle_gamma 90.00
_symmetry_space_group_name_H-M 'P 1'
_symmetry_Int_Tables_number 1
_symmetry_space_group_name_Hall 'P 1'
loop_
_atom_site_label
_atom_site_fract_x
_atom_site_fract_y
_atom_site_fract_z
Cd1 0.000 0.000 0.500
Cd2 0.000 0.500 0.000
Cd3 0.500 0.000 0.000
Ag1 0.000 0.000 0.000
B1 0.500 0.500 0.500



# Li3Ag (SCAN, PBEsol geometry)
# SG = P-6m2, No. 187
# Magnetization = 0.009 μB/atom
# E = -9.6968 eV per atom
# Density of states at the Fermi level = 1.43 states/eV/f.u.
data_Li3Ag
_chemical_formula_sum 'Li3 Ag1'
_cell_length_a 2.922
_cell_length_b 2.922
_cell_length_c 9.411
_cell_angle_alpha 90.00
_cell_angle_beta 90.00
_cell_angle_gamma 120.00
_symmetry_space_group_name_H-M 'P 1'
_symmetry_Int_Tables_number 1
_symmetry_space_group_name_Hall 'P 1'
loop_
_atom_site_label
_atom_site_fract_x
_atom_site_fract_y
_atom_site_fract_z
Li1 0.000 0.000 0.000
Li2 0.333 0.667 0.271
Li3 0.333 0.667 0.729
Ag1 0.000 0.000 0.500